<i>
DFT (PBE) results for crystalline CsLa3Hf at its relaxed geometry.

a b c (Å): 6.083 6.083 6.083
angles (deg): 90.00 90.00 90.00
Space group Pm-3m (No. 221)
Symmetry-distinct sites (fractional):
Cs 0.000 0.000 0.000 [1 per cell]
La 0.000 0.500 0.500 [3 per cell]
Hf 0.500 0.500 0.500 [1 per cell]

---

<ii>
DFT (PBE) results for crystalline CsLa3Hf at its relaxed geometry.

a b c (Å): 5.807 5.807 5.807
angles (deg): 90.00 90.00 90.00
Space group Pm-3m (No. 221)
Symmetry-distinct sites (fractional):
Cs 0.000 0.000 0.000 [1 per cell]
La 0.000 0.000 0.500 [3 per cell]
Hf 0.500 0.500 0.500 [1 per cell]

---

Tell me which of them is the least stable. Sure, it is <ii>.

---

<i>
DFT (PBE) results for crystalline CsLi3Hf at its relaxed geometry.

a b c (Å): 5.148 5.148 5.148
angles (deg): 90.00 90.00 90.00
Space group Pm-3m (No. 221)
Symmetry-distinct sites (fractional):
Cs 0.000 0.000 0.000 [1 per cell]
Li 0.000 0.000 0.500 [3 per cell]
Hf 0.500 0.500 0.500 [1 per cell]

---

<ii>
DFT (PBE) results for crystalline CsLi3Hf at its relaxed geometry.

a b c (Å): 5.888 5.888 5.888
angles (deg): 90.00 90.00 90.00
Space group Pm-3m (No. 221)
Symmetry-distinct sites (fractional):
Cs 0.000 0.000 0.000 [1 per cell]
Li 0.000 0.500 0.500 [3 per cell]
Hf 0.500 0.500 0.500 [1 per cell]

---

Tell me which of them is the least stable. Sure, it is <i>.

---

<i>
DFT (PBE) results for crystalline CsHfMg6 at its relaxed geometry.

a b c (Å): 5.292 6.805 11.831
angles (deg): 90.00 90.00 90.00
Space group Amm2 (No. 38)
Symmetry-distinct sites (fractional):
Cs 0.000 0.000 0.000 [2 per cell]
Hf 0.500 0.000 0.666 [2 per cell]
Mg 0.000 0.000 0.511 [2 per cell]
Mg 0.000 0.234 0.744 [4 per cell]
Mg 0.500 0.000 0.181 [2 per cell]
Mg 0.500 0.229 0.409 [4 per cell]

---

<ii>
DFT (PBE) results for crystalline CsHfMg6 at its relaxed geometry.

a b c (Å): 3.246 11.234 12.193
angles (deg): 90.00 90.00 90.00
Space group Amm2 (No. 38)
Symmetry-distinct sites (fractional):
Cs 0.000 0.000 0.000 [2 per cell]
Hf 0.000 0.000 0.491 [2 per cell]
Mg 0.000 0.233 0.319 [4 per cell]
Mg 0.500 0.000 0.275 [2 per cell]
Mg 0.500 0.000 0.722 [2 per cell]
Mg 0.500 0.216 0.584 [4 per cell]

---

Tell me which of them is the least stable. Sure, it is <i>.

---

<i>
DFT (PBE) results for crystalline CsHfMg14 at its relaxed geometry.

a b c (Å): 9.736 9.745 8.430
angles (deg): 90.00 90.00 90.00
Space group Cmmm (No. 65)
Symmetry-distinct sites (fractional):
Cs 0.000 0.000 0.000 [2 per cell]
Hf 0.000 0.500 0.000 [2 per cell]
Mg 0.000 0.000 0.500 [2 per cell]
Mg 0.000 0.270 0.262 [8 per cell]
Mg 0.000 0.500 0.500 [2 per cell]
Mg 0.230 0.500 0.262 [8 per cell]
Mg 0.250 0.250 0.000 [4 per cell]
Mg 0.250 0.250 0.500 [4 per cell]

---

<ii>
DFT (PBE) results for crystalline CsHfMg14 at its relaxed geometry.

a b c (Å): 6.6291 6.6291 10.5595
angles (deg): 90.00 90.00 120.00
Space group P-6m2 (No. 187)
Symmetry-distinct sites (fractional):
Cs 0.0000 0.0000 0.0000 [1 per cell]
Hf 0.0000 0.0000 0.5000 [1 per cell]
Mg 0.0104 0.5052 0.0000 [3 per cell]
Mg 0.1702 0.3405 0.2705 [6 per cell]
Mg 0.5026 0.0053 0.5000 [3 per cell]
Mg 0.6667 0.3333 0.2446 [2 per cell]

---

Tell me which of them is the least stable. Sure, it is <ii>.

---

<i>
DFT (PBE) results for crystalline CsHf3Mn at its relaxed geometry.

a b c (Å): 5.169 5.169 5.169
angles (deg): 90.00 90.00 90.00
Space group Pm-3m (No. 221)
Symmetry-distinct sites (fractional):
Cs 0.000 0.000 0.000 [1 per cell]
Hf 0.000 0.000 0.500 [3 per cell]
Mn 0.500 0.500 0.500 [1 per cell]

---

<ii>
DFT (PBE) results for crystalline CsHf3Mn at its relaxed geometry.

a b c (Å): 5.037 5.037 5.037
angles (deg): 90.00 90.00 90.00
Space group Pm-3m (No. 221)
Symmetry-distinct sites (fractional):
Cs 0.000 0.000 0.000 [1 per cell]
Hf 0.000 0.500 0.500 [3 per cell]
Mn 0.500 0.500 0.500 [1 per cell]

---

Tell me which of them is the least stable. Sure, it is <i>.

---

<i>
DFT (PBE) results for crystalline CsHfMo3 at its relaxed geometry.

a b c (Å): 5.155 5.155 5.155
angles (deg): 90.00 90.00 90.00
Space group Pm-3m (No. 221)
Symmetry-distinct sites (fractional):
Cs 0.000 0.000 0.000 [1 per cell]
Hf 0.500 0.500 0.500 [1 per cell]
Mo 0.000 0.500 0.500 [3 per cell]

---

<ii>
DFT (PBE) results for crystalline CsHfMo3 at its relaxed geometry.

a b c (Å): 4.873 4.873 4.873
angles (deg): 90.00 90.00 90.00
Space group Pm-3m (No. 221)
Symmetry-distinct sites (fractional):
Cs 0.000 0.000 0.000 [1 per cell]
Hf 0.500 0.500 0.500 [1 per cell]
Mo 0.000 0.000 0.500 [3 per cell]

---

Tell me which of them is the least stable. Sure, it is <ii>.